Entry 1:
{"formula": "LaNd2Y6", "functional": "GGA-PBE", "state": "relaxed", "sg": "No. 2", "polymorph_energy_mev_per_atom": 0, "lattice_angstrom": [[3.589, 0.418, 0.161], [-0.413, 5.970, -6.558], [1.118, 1.076, 12.961]], "species": ["Y", "Y", "Y", "Y", "Y", "Y", "Nd", "Nd", "La"], "fractional_positions": [[0.669, 0.662, 0.663], [0.223, 0.888, 0.554], [0.331, 0.338, 0.337], [0.113, 0.440, 0.774], [0.887, 0.560, 0.226], [0.777, 0.112, 0.446], [0.444, 0.778, 0.113], [0.556, 0.222, 0.887], [0.000, 0.000, 0.000]]}

***

Entry 2:
{"formula": "La3Nd2Y7", "functional": "GGA-PBE", "state": "relaxed", "sg": "No. 2", "lattice_angstrom": [[-2.094, -2.920, 0.648], [4.770, -3.205, 0.970], [-3.530, 8.718, 17.718]], "species": ["Y", "Y", "Y", "Y", "Y", "Y", "Y", "La", "La", "La", "Nd", "Nd"], "fractional_positions": [[0.416, 0.021, 0.829], [0.069, 0.453, 0.141], [0.728, 0.716, 0.458], [0.272, 0.284, 0.542], [0.000, 0.000, 0.000], [0.584, 0.979, 0.171], [0.931, 0.547, 0.859], [0.500, 0.500, 0.000], [0.177, 0.135, 0.358], [0.823, 0.865, 0.642], [0.642, 0.576, 0.288], [0.358, 0.424, 0.712]]}

***

Entry 3:
{"formula": "La4Nd4Y", "functional": "GGA-PBE", "state": "relaxed", "sg": "No. 139", "lattice_angstrom": [[5.261, 0.000, 0.000], [2.630, 7.811, 0.000], [2.630, 0.000, 7.811]], "species": ["La", "La", "La", "La", "Nd", "Nd", "Nd", "Nd", "Y"], "fractional_positions": [[0.333, 0.000, 0.335], [0.667, 0.665, 0.000], [0.333, 0.335, 0.000], [0.667, 0.000, 0.665], [0.333, 0.667, 0.667], [0.000, 0.667, 0.333], [0.000, 0.333, 0.667], [0.667, 0.333, 0.333], [0.000, 0.000, 0.000]]}

***

Entry 4:
{"formula": "LaNd4Y4", "functional": "GGA-PBE", "state": "relaxed", "sg": "No. 2", "lattice_angstrom": [[8.462, -4.403, 1.369], [-5.188, 9.607, 0.017], [1.412, 0.071, 10.841]], "species": ["Y", "Y", "Y", "Y", "Y", "Y", "Y", "Y", "La", "La", "Nd", "Nd", "Nd", "Nd", "Nd", "Nd", "Nd", "Nd"], "fractional_positions": [[0.530, 0.113, 0.638], [0.584, 0.332, 0.915], [0.304, 0.220, 0.528], [0.861, 0.443, 0.307], [0.696, 0.780, 0.472], [0.139, 0.557, 0.693], [0.470, 0.887, 0.362], [0.416, 0.668, 0.085], [0.638, 0.555, 0.196], [0.362, 0.445, 0.804], [0.806, 0.223, 0.028], [0.750, 0.001, 0.749], [0.194, 0.777, 0.972], [0.027, 0.111, 0.141], [0.080, 0.332, 0.418], [0.973, 0.889, 0.859], [0.250, 0.999, 0.251], [0.920, 0.668, 0.582]]}

***

Let's list Fermi-level density of states in order: 14.15, 17.85, 15.11, 13.94 states/eV/f.u..
Let's list formation enthalpy at 0 K in order: 1.8, 8.4, 1.5, 1.6 kJ/mol of atoms.
Let's list density in order: 5.30, 5.34, 6.32, 5.79 g/cm3.